(1)
VASP calculation (SCAN) on a crystal of TaAl2W relaxed with PBEsol.

```
data_TaAl2W
_symmetry_space_group_name_H-M 'P 1'
_symmetry_Int_Tables_number 1
_cell_length_a 2.774
_cell_length_b 4.493
_cell_length_c 5.069
_cell_angle_alpha 90.00
_cell_angle_beta 97.18
_cell_angle_gamma 90.00
loop_
_symmetry_equiv_pos_as_xyz
'x,y,z'
loop_
_atom_site_label
_atom_site_type_symbol
_atom_site_fract_x
_atom_site_fract_y
_atom_site_fract_z
Al1 Al 0.902 0.000 0.983
Al2 Al 0.860 0.500 0.263
W1 W 0.281 0.500 0.766
Ta1 Ta 0.457 0.000 0.487
```

Properties
calculated volume = 15.67 A^3/atom
ΔE_f = -0.19 eV/atom
DOS(E_F) = 0.342 states/eV/atom
distance to the lowest polymorph of the same formula = 0.000 eV/atom
size of the total moment = 0.00 Bohr magnetons per cell
symmetry = Pm

=====

(2)
VASP calculation (SCAN) on a crystal of CrRh3 relaxed with PBEsol.

```
data_CrRh3
_symmetry_space_group_name_H-M 'P 1'
_symmetry_Int_Tables_number 1
_cell_length_a 2.664
_cell_length_b 4.204
_cell_length_c 4.602
_cell_angle_alpha 90.00
_cell_angle_beta 90.00
_cell_angle_gamma 90.00
loop_
_symmetry_equiv_pos_as_xyz
'x,y,z'
loop_
_atom_site_label
_atom_site_type_symbol
_atom_site_fract_x
_atom_site_fract_y
_atom_site_fract_z
Cr1 Cr 0.000 0.000 0.005
Rh1 Rh 0.000 0.500 0.329
Rh2 Rh 0.500 0.000 0.496
Rh3 Rh 0.500 0.500 0.837
```

Properties
calculated volume = 12.89 A^3/atom
ΔE_f = -0.07 eV/atom
DOS(E_F) = 0.952 states/eV/atom
size of the total moment = 0.00 Bohr magnetons per cell
symmetry = Pmm2

=====

(3)
VASP calculation (SCAN) on a crystal of SiGe2OsBr relaxed with PBEsol.

```
data_SiGe2OsBr
_symmetry_space_group_name_H-M 'P 1'
_symmetry_Int_Tables_number 1
_cell_length_a 4.652
_cell_length_b 4.652
_cell_length_c 5.413
_cell_angle_alpha 90.00
_cell_angle_beta 90.00
_cell_angle_gamma 90.00
loop_
_symmetry_equiv_pos_as_xyz
'x,y,z'
loop_
_atom_site_label
_atom_site_type_symbol
_atom_site_fract_x
_atom_site_fract_y
_atom_site_fract_z
Ge1 Ge 0.000 0.500 0.000
Ge2 Ge 0.500 0.000 0.000
Os1 Os 0.000 0.000 0.000
Si1 Si 0.500 0.500 0.500
Br1 Br 0.000 0.000 0.500
```

Properties
calculated volume = 23.43 A^3/atom
DOS(E_F) = 0.498 states/eV/atom
size of the total moment = 0.69 Bohr magnetons per cell
symmetry = P4/mmm
E = -135.1 eV for the cell shown

=====

(4)
VASP calculation (SCAN) on a crystal of SrCoF2 relaxed with PBEsol.

```
data_SrCoF2
_symmetry_space_group_name_H-M 'P 1'
_symmetry_Int_Tables_number 1
_cell_length_a 3.664
_cell_length_b 3.664
_cell_length_c 6.326
_cell_angle_alpha 73.17
_cell_angle_beta 73.17
_cell_angle_gamma 60.00
loop_
_symmetry_equiv_pos_as_xyz
'x,y,z'
loop_
_atom_site_label
_atom_site_type_symbol
_atom_site_fract_x
_atom_site_fract_y
_atom_site_fract_z
Sr1 Sr 0.000 0.000 0.000
Co1 Co 0.500 0.500 0.500
F1 F 0.871 0.871 0.387
F2 F 0.129 0.129 0.613
```

Properties
calculated volume = 17.33 A^3/atom
DOS(E_F) = 0.264 states/eV/atom
size of the total moment = 2.40 Bohr magnetons per cell
symmetry = R-3m
E = -53.5 eV for the cell shown

=====

(5)
VASP calculation (SCAN) on a crystal of CaCu3P4O14 relaxed with PBEsol.

```
data_CaCu3P4O14
_symmetry_space_group_name_H-M 'P 1'
_symmetry_Int_Tables_number 1
_cell_length_a 7.245
_cell_length_b 7.691
_cell_length_c 9.363
_cell_angle_alpha 90.00
_cell_angle_beta 110.24
_cell_angle_gamma 90.00
loop_
_symmetry_equiv_pos_as_xyz
'x,y,z'
loop_
_atom_site_label
_atom_site_type_symbol
_atom_site_fract_x
_atom_site_fract_y
_atom_site_fract_z
Ca1 Ca 0.500 0.000 0.000
Ca2 Ca 0.500 0.500 0.500
Cu1 Cu 0.189 0.132 0.521
Cu2 Cu 0.811 0.632 0.979
Cu3 Cu 0.811 0.868 0.479
Cu4 Cu 0.189 0.368 0.021
Cu5 Cu 0.000 0.000 0.000
Cu6 Cu 0.000 0.500 0.500
P1 P 0.593 0.949 0.699
P2 P 0.407 0.449 0.801
P3 P 0.407 0.051 0.301
P4 P 0.593 0.551 0.199
P5 P 0.895 0.212 0.697
P6 P 0.105 0.712 0.803
P7 P 0.105 0.788 0.303
P8 P 0.895 0.288 0.197
O1 O 0.846 0.388 0.615
O2 O 0.154 0.888 0.885
O3 O 0.154 0.612 0.385
O4 O 0.846 0.112 0.115
O5 O 0.299 0.401 0.634
O6 O 0.701 0.901 0.866
O7 O 0.701 0.599 0.366
O8 O 0.299 0.099 0.134
O9 O 0.627 0.816 0.588
O10 O 0.373 0.316 0.912
O11 O 0.373 0.184 0.412
O12 O 0.627 0.684 0.088
O13 O 0.681 0.133 0.669
O14 O 0.319 0.633 0.831
O15 O 0.319 0.867 0.331
O16 O 0.681 0.367 0.169
O17 O 0.380 0.509 0.179
O18 O 0.620 0.009 0.321
O19 O 0.620 0.491 0.821
O20 O 0.380 0.991 0.679
O21 O 0.011 0.782 0.128
O22 O 0.989 0.282 0.372
O23 O 0.989 0.218 0.872
O24 O 0.011 0.718 0.628
O25 O 0.999 0.410 0.122
O26 O 0.001 0.910 0.378
O27 O 0.001 0.590 0.878
O28 O 0.999 0.090 0.622
```

Properties
calculated volume = 11.12 A^3/atom
size of the total moment = 6.00 Bohr magnetons per cell
symmetry = P2_1/c
E = -463.2 eV for the cell shown

=====

(6)
VASP calculation (SCAN) on a crystal of YMgCu relaxed with PBEsol.

```
data_YMgCu
_symmetry_space_group_name_H-M 'P 1'
_symmetry_Int_Tables_number 1
_cell_length_a 3.917
_cell_length_b 7.380
_cell_length_c 7.380
_cell_angle_alpha 120.00
_cell_angle_beta 90.00
_cell_angle_gamma 90.00
loop_
_symmetry_equiv_pos_as_xyz
'x,y,z'
loop_
_atom_site_label
_atom_site_type_symbol
_atom_site_fract_x
_atom_site_fract_y
_atom_site_fract_z
Cu1 Cu 0.500 0.000 0.000
Cu2 Cu 0.000 0.333 0.667
Cu3 Cu 0.000 0.667 0.333
Mg1 Mg 0.000 0.000 0.756
Mg2 Mg 0.000 0.756 0.000
Mg3 Mg 0.000 0.244 0.244
Y1 Y 0.500 0.000 0.414
Y2 Y 0.500 0.414 0.000
Y3 Y 0.500 0.586 0.586
```

Properties
calculated volume = 20.53 A^3/atom
ΔE_f = -0.27 eV/atom
DOS(E_F) = 0.806 states/eV/atom
distance to the lowest polymorph of the same formula = 0.000 eV/atom
size of the total moment = 0.00 Bohr magnetons per cell
symmetry = P-62m

=====

(7)
VASP calculation (SCAN) on a crystal of YMgAg4 relaxed with PBEsol.

```
data_YMgAg4
_symmetry_space_group_name_H-M 'P 1'
_symmetry_Int_Tables_number 1
_cell_length_a 5.489
_cell_length_b 5.489
_cell_length_c 5.489
_cell_angle_alpha 60.00
_cell_angle_beta 60.00
_cell_angle_gamma 60.00
loop_
_symmetry_equiv_pos_as_xyz
'x,y,z'
loop_
_atom_site_label
_atom_site_type_symbol
_atom_site_fract_x
_atom_site_fract_y
_atom_site_fract_z
Y1 Y 0.000 0.000 0.000
Mg1 Mg 0.750 0.750 0.750
Ag1 Ag 0.375 0.375 0.375
Ag2 Ag 0.375 0.375 0.874
Ag3 Ag 0.874 0.375 0.375
Ag4 Ag 0.375 0.874 0.375
```

Properties
calculated volume = 19.50 A^3/atom
ΔE_f = -0.25 eV/atom
DOS(E_F) = 0.404 states/eV/atom
size of the total moment = 0.00 Bohr magnetons per cell
symmetry = F-43m

=====

(8)
VASP calculation (SCAN) on a crystal of USeS relaxed with PBEsol.

```
data_USeS
_symmetry_space_group_name_H-M 'P 1'
_symmetry_Int_Tables_number 1
_cell_length_a 3.989
_cell_length_b 7.163
_cell_length_c 8.529
_cell_angle_alpha 90.00
_cell_angle_beta 90.00
_cell_angle_gamma 90.00
loop_
_symmetry_equiv_pos_as_xyz
'x,y,z'
loop_
_atom_site_label
_atom_site_type_symbol
_atom_site_fract_x
_atom_site_fract_y
_atom_site_fract_z
U1 U 0.750 0.274 0.628
U2 U 0.250 0.726 0.372
U3 U 0.750 0.774 0.872
U4 U 0.250 0.226 0.128
Se1 Se 0.250 0.470 0.836
Se2 Se 0.750 0.530 0.164
Se3 Se 0.250 0.970 0.664
Se4 Se 0.750 0.030 0.336
S1 S 0.750 0.646 0.571
S2 S 0.250 0.354 0.429
S3 S 0.750 0.146 0.929
S4 S 0.250 0.854 0.071
```

Properties
calculated volume = 20.31 A^3/atom
DOS(E_F) = 2.043 states/eV/atom
size of the total moment = 8.00 Bohr magnetons per cell
symmetry = Pnma
E = -548.6 eV for the cell shown